The following is a DFT calculation (PBE) of a relaxed CaPm3Bi4 crystal.

- Spin magnetization: 0.000 μB/atom

a = 6.487 Å, b = 6.487 Å, c = 6.487 Å
α = 90.00°, β = 90.00°, γ = 90.00°
Space group Pm-3m (No. 221)
Asymmetric unit:
Ca: 0.000 0.000 0.000 [1 per cell]
Pm: 0.000 0.500 0.500 [3 per cell]
Bi: 0.000 0.000 0.500 [3 per cell]
Bi: 0.500 0.500 0.500 [1 per cell]

=====

The following is a DFT calculation (PBE) of a relaxed CaPmBi2 crystal.

- Spin magnetization: 0.000 μB/atom

a = 6.528 Å, b = 6.568 Å, c = 13.018 Å
α = 90.00°, β = 103.67°, γ = 90.05°
Space group P-1 (No. 2)
Asymmetric unit:
Ca: 0.184 0.252 0.255 [2 per cell]
Ca: 0.305 0.253 0.751 [2 per cell]
Pm: 0.238 0.753 0.003 [2 per cell]
Pm: 0.252 0.750 0.498 [2 per cell]
Bi: 0.183 0.752 0.238 [2 per cell]
Bi: 0.246 0.250 0.502 [2 per cell]
Bi: 0.268 0.253 0.010 [2 per cell]
Bi: 0.333 0.753 0.770 [2 per cell]

=====

The following is a DFT calculation (PBE) of a relaxed CaPm3Bi3 crystal.

- Spin magnetization: 0.000 μB/atom

a = 9.4112 Å, b = 9.4112 Å, c = 19.2592 Å
α = 90.00°, β = 90.00°, γ = 120.00°
Space group R-3 (No. 148, hexagonal axes)
Asymmetric unit:
Ca: 0.0000 0.0000 0.1671 [6 per cell]
Pm: 0.0041 0.7389 0.5853 [18 per cell]
Bi: 0.0050 0.6182 0.4182 [18 per cell]

=====

The following is a DFT calculation (PBE) of a relaxed CaPmBi2 crystal.

- Spin magnetization: 0.000 μB/atom

a = 5.462 Å, b = 5.462 Å, c = 4.202 Å
α = 90.00°, β = 90.00°, γ = 90.00°
Space group P4/mmm (No. 123)
Asymmetric unit:
Ca: 0.000 0.000 0.000 [1 per cell]
Pm: 0.500 0.500 0.000 [1 per cell]
Bi: 0.000 0.500 0.500 [2 per cell]

=====

The following is a DFT calculation (PBE) of a relaxed CaPm3Bi2 crystal.

- Spin magnetization: 0.000 μB/atom

a = 4.653 Å, b = 4.653 Å, c = 8.952 Å
α = 90.00°, β = 90.00°, γ = 90.00°
Space group P-4m2 (No. 115)
Asymmetric unit:
Ca: 0.000 0.000 0.000 [1 per cell]
Pm: 0.000 0.500 0.352 [2 per cell]
Pm: 0.500 0.500 0.000 [1 per cell]
Bi: 0.000 0.500 0.718 [2 per cell]

=====

The following is a DFT calculation (PBE) of a relaxed CaPmBi2 crystal.

- Spin magnetization: 0.000 μB/atom

a = 4.3987 Å, b = 4.3987 Å, c = 30.2598 Å
α = 90.00°, β = 90.00°, γ = 120.00°
Space group R-3m (No. 166, hexagonal axes)
Asymmetric unit:
Ca: 0.0000 0.0000 0.0000 [3 per cell]
Pm: 0.0000 0.0000 0.5000 [3 per cell]
Bi: 0.0000 0.0000 0.1006 [6 per cell]

=====

no.,energy of formation (kcal/mol of atoms)
1,-19.62
2,-17.28
3,-16.89
4,-15.96
5,-14.37
6,-4.47